No. 1
## TiAg3Pb (PBE)

Data for TiAg3Pb after structural relaxation.

abc: 5.211 5.211 5.211
angles: 90.00 90.00 90.00
Fractional positions:
Ti1 0.000 0.000 0.000
Ag1 0.000 0.500 0.500
Ag2 0.500 0.000 0.500
Ag3 0.500 0.500 0.000
Pb1 0.500 0.500 0.500


No. 2
## Ba2Cu2Se (PBE)

Data for Ba2Cu2Se after structural relaxation.

abc: 8.710 8.710 4.483
angles: 90.00 90.00 90.00
Fractional positions:
Ba1 0.185 0.315 0.000
Ba2 0.315 0.815 0.000
Ba3 0.685 0.185 0.000
Ba4 0.815 0.685 0.000
Cu1 0.100 0.600 0.500
Cu2 0.400 0.100 0.500
Cu3 0.600 0.900 0.500
Cu4 0.900 0.400 0.500
Se1 0.000 0.000 0.000
Se2 0.500 0.500 0.000

For the uncorrected formation energy, the calculation gives -0.376 eV/atom.


No. 3
## Mn4PdW (PBE)

Data for Mn4PdW after structural relaxation.

abc: 4.719 4.719 4.719
angles: 60.00 60.00 60.00
Fractional positions:
Mn1 0.377 0.377 0.377
Mn2 0.377 0.377 0.870
Mn3 0.377 0.870 0.377
Mn4 0.870 0.377 0.377
Pd1 0.750 0.750 0.750
W1 0.000 0.000 0.000


No. 4
## ZnSn2Bi2 (PBE)

Data for ZnSn2Bi2 after structural relaxation.

abc: 8.629 8.629 4.035
angles: 90.00 90.00 90.00
Fractional positions:
Zn1 0.000 0.000 0.000
Zn2 0.500 0.500 0.000
Sn1 0.146 0.354 0.000
Sn2 0.354 0.854 0.000
Sn3 0.646 0.146 0.000
Sn4 0.854 0.646 0.000
Bi1 0.149 0.649 0.500
Bi2 0.351 0.149 0.500
Bi3 0.649 0.851 0.500
Bi4 0.851 0.351 0.500


No. 5
## KAl3As (PBE)

Data for KAl3As after structural relaxation.

abc: 5.615 5.615 5.615
angles: 90.00 90.00 90.00
Fractional positions:
K1 0.000 0.000 0.000
Al1 0.000 0.000 0.500
Al2 0.000 0.500 0.000
Al3 0.500 0.000 0.000
As1 0.500 0.500 0.500


No. 6
## Sm5Ho4Sc4 (PBE)

Data for Sm5Ho4Sc4 after structural relaxation.

abc: 9.219 9.219 9.219
angles: 94.09 94.09 149.04
Fractional positions:
Sm1 0.000 0.000 0.000
Sm2 0.306 0.458 0.764
Sm3 0.458 0.694 0.151
Sm4 0.542 0.306 0.849
Sm5 0.694 0.542 0.236
Ho1 0.078 0.617 0.695
Ho2 0.383 0.078 0.461
Ho3 0.617 0.922 0.539
Ho4 0.922 0.383 0.305
Sc1 0.156 0.233 0.389
Sc2 0.233 0.844 0.078
Sc3 0.767 0.156 0.922
Sc4 0.844 0.767 0.611


No. 7
## CaAc5Ge3 (PBE)

Data for CaAc5Ge3 after structural relaxation.

abc: 8.481 8.481 11.009
angles: 104.66 104.66 74.33
Fractional positions:
Ca1 0.062 0.062 0.278
Ca2 0.938 0.938 0.722
Ac1 0.010 0.625 0.367
Ac2 0.241 0.241 0.068
Ac3 0.304 0.696 0.000
Ac4 0.375 0.990 0.633
Ac5 0.479 0.479 0.667
Ac6 0.521 0.521 0.333
Ac7 0.625 0.010 0.367
Ac8 0.696 0.304 0.000
Ac9 0.759 0.759 0.932
Ac10 0.990 0.375 0.633
Ge1 0.000 0.000 0.000
Ge2 0.000 0.000 0.500
Ge3 0.293 0.293 0.411
Ge4 0.328 0.328 0.836
Ge5 0.672 0.672 0.164
Ge6 0.707 0.707 0.589


No. 8
## MnCd2InSe (PBE)

Data for MnCd2InSe after structural relaxation.

abc: 5.261 5.261 4.376
angles: 90.00 90.00 90.00
Fractional positions:
Mn1 0.000 0.000 0.000
Cd1 0.000 0.500 0.000
Cd2 0.500 0.000 0.000
In1 0.500 0.500 0.500
Se1 0.000 0.000 0.500

For the uncorrected formation energy, the calculation gives 0.242 eV/atom.


Calculated uncorrected energy in order - -0.106; -0.128; -0.334; -0.118; -0.064; -0.188; -0.162; -0.118 Ha/atom